Material: HoTlInTe3
Method: DFT, PBE
State: relaxed

The value obtained for the calculated total energy is -3.84 eV/atom.

It has space group Cmcm (No. 63), with a = 4.484 Å, b = 15.391 Å, c = 11.576 Å, α = 90.00°, β = 90.00° and γ = 90.00°. Symmetry generates all atoms from Ho at (0.000, 0.000, 0.000), Tl at (0.000, 0.237, 0.250), In at (0.000, 0.459, 0.750), Te at (0.000, 0.085, 0.750) and Te at (0.000, 0.361, 0.534).


Material: HoTlIn
Method: DFT, PBE
State: relaxed

The calculation puts the polymorph energy (0 for the lowest one) at 0 meV per atom.

It has space group Cmmm (No. 65), with a = 4.655 Å, b = 14.376 Å, c = 4.697 Å, α = 90.00°, β = 90.00° and γ = 90.00°. Symmetry generates all atoms from Ho at (0.000, 0.156, 0.000), Tl at (0.000, 0.000, 0.500), Tl at (0.000, 0.500, 0.000) and In at (0.000, 0.321, 0.500).


Material: HoTlIn
Method: DFT, PBE
State: relaxed

The calculation puts the polymorph energy (0 for the lowest one) at 276 meV per atom.

It has space group F-43m (No. 216), with a = 7.064 Å, b = 7.064 Å, c = 7.064 Å, α = 90.00°, β = 90.00° and γ = 90.00°. Symmetry generates all atoms from Ho at (0.000, 0.000, 0.000), Tl at (0.250, 0.250, 0.250) and In at (0.000, 0.000, 0.500).


Material: HoTlIn
Method: DFT, PBE
State: relaxed

The calculation puts the polymorph energy (0 for the lowest one) at 20 meV per atom.

It has space group Cmmm (No. 65), with a = 4.650 Å, b = 14.537 Å, c = 4.614 Å, α = 90.00°, β = 90.00° and γ = 90.00°. Symmetry generates all atoms from Ho at (0.000, 0.154, 0.000), Tl at (0.000, 0.327, 0.500), In at (0.000, 0.000, 0.500) and In at (0.000, 0.500, 0.000).


Material: Ho2Tl3In
Method: DFT, PBE
State: relaxed

The calculation puts the polymorph energy (0 for the lowest one) at 0 meV per atom.

It has space group Cmmm (No. 65), with a = 4.653 Å, b = 14.579 Å, c = 4.648 Å, α = 90.00°, β = 90.00° and γ = 90.00°. Symmetry generates all atoms from Ho at (0.000, 0.154, 0.000), Tl at (0.000, 0.325, 0.500), Tl at (0.000, 0.500, 0.000) and In at (0.000, 0.000, 0.500).


Material: Ho3TmIn2
Method: DFT, PBE
State: relaxed

The value obtained for the calculated total energy is -4.30 eV/atom.

It has space group P-6m2 (No. 187), with a = 5.3489 Å, b = 5.3489 Å, c = 6.6769 Å, α = 90.00°, β = 90.00° and γ = 120.00°. Symmetry generates all atoms from Ho at (0.0000, 0.0000, 0.0000), Ho at (0.3333, 0.6667, 0.2507), Tm at (0.6667, 0.3333, 0.5000), In at (0.0000, 0.0000, 0.5000) and In at (0.6667, 0.3333, 0.0000).


Material: HoTmIn4
Method: DFT, PBE
State: relaxed

The value obtained for the calculated total energy is -3.75 eV/atom.

It has space group Amm2 (No. 38), with a = 4.626 Å, b = 4.588 Å, c = 14.139 Å, α = 90.00°, β = 90.00° and γ = 90.00°. Symmetry generates all atoms from Ho at (0.000, 0.000, 0.000), Tm at (0.000, 0.000, 0.311), In at (0.000, 0.000, 0.656), In at (0.500, 0.000, 0.156), In at (0.500, 0.000, 0.480) and In at (0.500, 0.000, 0.831).


Material: Ho2TmIn
Method: DFT, PBE
State: relaxed

The value obtained for the calculated total energy is -4.35 eV/atom.

It has space group P4/mmm (No. 123), with a = 4.796 Å, b = 4.796 Å, c = 4.813 Å, α = 90.00°, β = 90.00° and γ = 90.00°. Symmetry generates all atoms from Ho at (0.000, 0.500, 0.000), Tm at (0.000, 0.000, 0.500) and In at (0.500, 0.500, 0.500).


Material: Ho5TmIn3
Method: DFT, PBE
State: relaxed

The value obtained for the calculated total energy is -4.30 eV/atom.

It has space group P6_3/mcm (No. 193), with a = 9.2727 Å, b = 9.2727 Å, c = 6.6797 Å, α = 90.00°, β = 90.00° and γ = 120.00°. Symmetry generates all atoms from Ho at (0.0000, 0.3329, 0.2500), Ho at (0.3333, 0.6667, 0.0000), Tm at (0.0000, 0.0000, 0.0000) and In at (0.0000, 0.3331, 0.7500).


Material: Ho2TmIn3
Method: DFT, PBE
State: relaxed

The value obtained for the calculated total energy is -4.09 eV/atom.

It has space group P4/mmm (No. 123), with a = 3.520 Å, b = 3.520 Å, c = 12.484 Å, α = 90.00°, β = 90.00° and γ = 90.00°. Symmetry generates all atoms from Ho at (0.000, 0.000, 0.167), Tm at (0.000, 0.000, 0.500), In at (0.500, 0.500, 0.000) and In at (0.500, 0.500, 0.335).


Material: HoTm2ZnIn2
Method: DFT, PBE
State: relaxed

The value obtained for the calculated total energy is -3.78 eV/atom.

It has space group P-3m1 (No. 164), with a = 5.1797 Å, b = 5.1797 Å, c = 6.3607 Å, α = 90.00°, β = 90.00° and γ = 120.00°. Symmetry generates all atoms from Ho at (0.0000, 0.0000, 0.0000), Tm at (0.3333, 0.6667, 0.6558), Zn at (0.0000, 0.0000, 0.5000) and In at (0.3333, 0.6667, 0.1695).


Material: HoUIn
Method: DFT, PBE
State: relaxed

The calculation puts the polymorph energy (0 for the lowest one) at 0 meV per atom.

It has space group F-43m (No. 216), with a = 7.157 Å, b = 7.157 Å, c = 7.157 Å, α = 90.00°, β = 90.00° and γ = 90.00°. Symmetry generates all atoms from Ho at (0.000, 0.000, 0.000), U at (0.250, 0.250, 0.250) and In at (0.250, 0.250, 0.750).


Material: HoInW
Method: DFT, PBE
State: relaxed

The value obtained for the calculated total energy is -5.43 eV/atom.

It has space group F-43m (No. 216), with a = 6.889 Å, b = 6.889 Å, c = 6.889 Å, α = 90.00°, β = 90.00° and γ = 90.00°. Symmetry generates all atoms from Ho at (0.000, 0.000, 0.000), In at (0.250, 0.250, 0.750) and W at (0.250, 0.250, 0.250).


Material: YHoIn5
Method: DFT, PBE
State: relaxed

The value obtained for the calculated total energy is -3.85 eV/atom.

It has space group P4/mmm (No. 123), with a = 4.666 Å, b = 4.666 Å, c = 8.530 Å, α = 90.00°, β = 90.00° and γ = 90.00°. Symmetry generates all atoms from Y at (0.000, 0.000, 0.000), Ho at (0.000, 0.000, 0.500), In at (0.000, 0.500, 0.265) and In at (0.500, 0.500, 0.000).


Material: YHo2In3
Method: DFT, PBE
State: relaxed

The value obtained for the calculated total energy is -4.44 eV/atom.

It has space group P4/mmm (No. 123), with a = 3.521 Å, b = 3.521 Å, c = 12.654 Å, α = 90.00°, β = 90.00° and γ = 90.00°. Symmetry generates all atoms from Y at (0.000, 0.000, 0.000), Ho at (0.000, 0.000, 0.334), In at (0.500, 0.500, 0.168) and In at (0.500, 0.500, 0.500).


Material: Ho5Zn4In
Method: DFT, PBE
State: relaxed

The value obtained for the calculated total energy is -3.45 eV/atom.

It has space group P4/mmm (No. 123), with a = 3.559 Å, b = 3.559 Å, c = 18.207 Å, α = 90.00°, β = 90.00° and γ = 90.00°. Symmetry generates all atoms from Ho at (0.000, 0.000, 0.000), Ho at (0.000, 0.000, 0.194), Ho at (0.000, 0.000, 0.386), Zn at (0.500, 0.500, 0.098), Zn at (0.500, 0.500, 0.289) and In at (0.500, 0.500, 0.500).


Material: Ho2ZnIn
Method: DFT, PBE
State: relaxed

The value obtained for the calculated total energy is -3.71 eV/atom.

It has space group P4/mmm (No. 123), with a = 3.616 Å, b = 3.616 Å, c = 7.405 Å, α = 90.00°, β = 90.00° and γ = 90.00°. Symmetry generates all atoms from Ho at (0.000, 0.000, 0.231), Zn at (0.500, 0.500, 0.000) and In at (0.500, 0.500, 0.500).


Material: HoZr2In
Method: DFT, PBE
State: relaxed

The value obtained for the calculated total energy is -6.30 eV/atom.

It has space group P4/mmm (No. 123), with a = 4.567 Å, b = 4.567 Å, c = 4.560 Å, α = 90.00°, β = 90.00° and γ = 90.00°. Symmetry generates all atoms from Ho at (0.000, 0.000, 0.000), Zr at (0.000, 0.500, 0.500) and In at (0.500, 0.500, 0.000).


Material: HoZrIn
Method: DFT, PBE
State: relaxed

The calculation puts the polymorph energy (0 for the lowest one) at 0 meV per atom.

It has space group F-43m (No. 216), with a = 7.023 Å, b = 7.023 Å, c = 7.023 Å, α = 90.00°, β = 90.00° and γ = 90.00°. Symmetry generates all atoms from Ho at (0.000, 0.000, 0.000), Zr at (0.000, 0.000, 0.500) and In at (0.250, 0.250, 0.250).


Material: Ho2ZrIn
Method: DFT, PBE
State: relaxed

The value obtained for the calculated total energy is -5.31 eV/atom.

It has space group P4/mmm (No. 123), with a = 4.669 Å, b = 4.669 Å, c = 4.689 Å, α = 90.00°, β = 90.00° and γ = 90.00°. Symmetry generates all atoms from Ho at (0.000, 0.500, 0.000), Zr at (0.000, 0.000, 0.500) and In at (0.500, 0.500, 0.500).


Material: Ho5Ir
Method: DFT, PBE
State: relaxed

The value obtained for the calculated total energy is -5.66 eV/atom.

It has space group Pnma (No. 62), with a = 6.979 Å, b = 15.298 Å, c = 6.347 Å, α = 90.00°, β = 90.00° and γ = 90.00°. Symmetry generates all atoms from Ho at (0.041, 0.136, 0.176), Ho at (0.109, 0.750, 0.363), Ho at (0.178, 0.057, 0.659) and Ir at (0.245, 0.250, 0.451).


Material: Ho8Ir
Method: DFT, PBE
State: relaxed

The value obtained for the calculated total energy is -5.28 eV/atom.

It has space group P-62m (No. 189), with a = 8.9895 Å, b = 8.9895 Å, c = 3.6873 Å, α = 90.00°, β = 90.00° and γ = 120.00°. Symmetry generates all atoms from Ho at (0.0000, 0.2401, 0.0000), Ho at (0.0000, 0.6152, 0.5000), Ho at (0.3333, 0.6667, 0.0000) and Ir at (0.0000, 0.0000, 0.5000).


Material: Ho2Ir
Method: DFT, PBE
State: relaxed

The value obtained for the calculated total energy is -5.36 eV/atom.

It has space group Fd-3m (No. 227, origin choice 2), with a = 8.122 Å, b = 8.122 Å, c = 8.122 Å, α = 90.00°, β = 90.00° and γ = 90.00°. Symmetry generates all atoms from Ho at (0.000, 0.000, 0.000) and Ir at (0.125, 0.125, 0.625).


Material: HoIr
Method: DFT, PBE
State: relaxed

The value obtained for the calculated total energy is -7.17 eV/atom.

It has space group P-6m2 (No. 187), with a = 3.9005 Å, b = 3.9005 Å, c = 3.4044 Å, α = 90.00°, β = 90.00° and γ = 120.00°. Symmetry generates all atoms from Ho at (0.0000, 0.0000, 0.0000) and Ir at (0.6667, 0.3333, 0.5000).


Material: Ho5Ir3
Method: DFT, PBE
State: relaxed

The value obtained for the calculated total energy is -7.01 eV/atom.

It has space group P4/ncc (No. 130, origin choice 2), with a = 10.818 Å, b = 10.818 Å, c = 6.320 Å, α = 90.00°, β = 90.00° and γ = 90.00°. Symmetry generates all atoms from Ho at (0.041, 0.162, 0.123), Ho at (0.250, 0.750, 0.000), Ir at (0.096, 0.596, 0.750) and Ir at (0.250, 0.250, 0.377).